Record 1
Below is Mo2RuRh at its PBEsol-relaxed geometry, with properties calculated at the meta-GGA SCAN level.

Unit cell a=2.7264 b=3.8298 c=5.4621 alpha=90.00 beta=90.00 gamma=90.00
Closest atoms and distances in Å follow each position.
Positions (direct):
Mo  0.0000  0.0000  0.2458  4 Mo 2.69-2.78, 4 Ru 2.71, 4 Rh 2.73
Mo  0.0000  0.0000  0.7542  4 Mo 2.69-2.78, 4 Ru 2.71, 4 Rh 2.73
Ru  0.5000  0.5000  0.0000  8 Mo 2.71, 2 Ru 2.73, 2 Rh 2.73
Rh  0.5000  0.5000  0.5000  2 Rh 2.73, 8 Mo 2.73, 2 Ru 2.73

Values from the calculation:
calculated density	11.53	g/cm3
DFT formation energy	-0.0623	eV/atom
raw total energy	-138.617	eV per cell

Record 2
Below is MgRh at its PBEsol-relaxed geometry, with properties calculated at the meta-GGA SCAN level.

Unit cell a=5.3583 b=5.3583 c=5.3583 alpha=147.50 beta=132.10 gamma=59.08
Closest atoms and distances in Å follow each position.
Positions (direct):
Mg  0.3613  0.1113  0.2500  6 Rh 2.65-2.75
Mg  0.6387  0.8887  0.7500  6 Rh 2.65-2.75
Rh  0.1146  0.3646  0.7500  2 Rh 2.61, 6 Mg 2.65-2.75
Rh  0.8854  0.6354  0.2500  2 Rh 2.61, 6 Mg 2.65-2.75

Values from the calculation:
calculated density	6.95	g/cm3
DFT formation energy	-0.4300	eV/atom
raw total energy	-79.211	eV per cell

Record 3
Below is YHfAu3 at its PBEsol-relaxed geometry, with properties calculated at the meta-GGA SCAN level.

Unit cell a=5.0474 b=5.0474 c=5.0474 alpha=90.00 beta=90.00 gamma=90.00
Closest atoms and distances in Å follow each position.
Positions (direct):
Y  0.0000  0.0000  0.0000  6 Au 2.52
Hf  0.5000  0.5000  0.5000  12 Au 3.57
Au  0.0000  0.0000  0.5000  2 Y 2.52
Au  0.0000  0.5000  0.0000  2 Y 2.52
Au  0.5000  0.0000  0.0000  2 Y 2.52

Values from the calculation:
calculated density	11.08	g/cm3
DFT formation energy	0.6903	eV/atom
raw total energy	-294.535	eV per cell

Record 4
Below is CrCd2Ag at its PBEsol-relaxed geometry, with properties calculated at the meta-GGA SCAN level.

Unit cell a=4.1740 b=4.1740 c=4.1078 alpha=90.00 beta=90.00 gamma=90.00
Closest atoms and distances in Å follow each position.
Positions (direct):
Cr  0.0000  0.0000  0.0000  8 Cd 2.93, 4 Ag 2.95
Cd  0.0000  0.5000  0.5000  4 Cr 2.93, 4 Ag 2.93, 4 Cd 2.95
Cd  0.5000  0.0000  0.5000  4 Cr 2.93, 4 Ag 2.93, 4 Cd 2.95
Ag  0.5000  0.5000  0.0000  8 Cd 2.93, 4 Cr 2.95

Values from the calculation:
calculated density	8.93	g/cm3
DFT formation energy	0.0836	eV/atom
raw total energy	-110.246	eV per cell

Record 5
Below is Li3Sc2P3O12 at its PBEsol-relaxed geometry, with properties calculated at the meta-GGA SCAN level.

Unit cell a=8.8079 b=8.8300 c=15.1504 alpha=90.00 beta=125.31 gamma=90.00
Closest atoms and distances in Å follow each position.
Positions (direct):
Li  0.0105  0.2322  0.3166  4 O 1.91-2.02
Li  0.0105  0.2678  0.8166  4 O 1.91-2.02
Li  0.2317  0.0725  0.2866  4 O 1.94-2.09
Li  0.2317  0.4275  0.7866  4 O 1.94-2.09
Li  0.4028  0.2316  0.1810  4 O 1.94-2.01
Li  0.4028  0.2684  0.6810  4 O 1.94-2.01
Li  0.5972  0.7316  0.3190  4 O 1.94-2.01
Li  0.5972  0.7684  0.8190  4 O 1.94-2.01
Li  0.7683  0.5725  0.2134  4 O 1.94-2.09
Li  0.7683  0.9275  0.7134  4 O 1.94-2.09
Li  0.9895  0.7322  0.1834  4 O 1.91-2.02
Li  0.9895  0.7678  0.6834  4 O 1.91-2.02
Sc  0.1550  0.5432  0.3940  6 O 1.98-2.22
Sc  0.1550  0.9568  0.8940  6 O 1.98-2.22
Sc  0.3539  0.5478  0.1101  6 O 1.98-2.17
Sc  0.3539  0.9522  0.6101  6 O 1.98-2.17
Sc  0.6461  0.0478  0.3899  6 O 1.98-2.17
Sc  0.6461  0.4522  0.8899  6 O 1.98-2.17
Sc  0.8450  0.0432  0.1060  6 O 1.98-2.22
Sc  0.8450  0.4568  0.6060  6 O 1.98-2.22
P  0.0473  0.1099  0.6515  4 O 1.53-1.56
P  0.0473  0.3901  0.1515  4 O 1.53-1.56
P  0.2550  0.5947  0.6497  4 O 1.52-1.56
P  0.2550  0.9053  0.1497  4 O 1.52-1.56
P  0.4436  0.2420  0.4948  4 O 1.53-1.55
P  0.4436  0.2580  0.9948  4 O 1.53-1.55
P  0.5564  0.7420  0.0052  4 O 1.53-1.55
P  0.5564  0.7580  0.5052  4 O 1.53-1.55
P  0.7450  0.0947  0.8503  4 O 1.52-1.56
P  0.7450  0.4053  0.3503  4 O 1.52-1.56
P  0.9527  0.6099  0.8485  4 O 1.53-1.56
P  0.9527  0.8901  0.3485  4 O 1.53-1.56
O  0.0342  0.2307  0.1916  1 P 1.56
O  0.0342  0.2693  0.6916  1 P 1.56
O  0.0382  0.5160  0.2202  1 P 1.56
O  0.0382  0.9840  0.7202  1 P 1.56
O  0.0972  0.5919  0.6669  1 P 1.55
O  0.0972  0.9081  0.1669  1 P 1.55
O  0.1199  0.5896  0.9664  1 P 1.53
O  0.1199  0.9104  0.4664  1 P 1.53
O  0.1843  0.5555  0.5342  1 P 1.52
O  0.1843  0.9445  0.0342  1 P 1.52
O  0.2321  0.1006  0.6624  1 P 1.54
O  0.2321  0.3994  0.1624  1 P 1.54
O  0.2605  0.1697  0.9168  1 P 1.55
O  0.2605  0.3303  0.4168  1 P 1.55
O  0.3495  0.7487  0.1824  1 P 1.54
O  0.3495  0.7513  0.6824  1 P 1.54
O  0.3873  0.6535  0.4425  1 P 1.53
O  0.3873  0.8465  0.9425  1 P 1.53
O  0.3922  0.0302  0.2281  1 P 1.56
O  0.3922  0.4698  0.7281  1 P 1.56
O  0.4219  0.1597  0.5767  1 P 1.54
O  0.4219  0.3403  0.0767  1 P 1.54
O  0.4603  0.1299  0.4227  1 P 1.54
O  0.4603  0.3701  0.9227  1 P 1.54
O  0.5397  0.6299  0.0773  1 P 1.54
O  0.5397  0.8701  0.5773  1 P 1.54
O  0.5781  0.6597  0.9233  1 P 1.54
O  0.5781  0.8403  0.4233  1 P 1.54
O  0.6078  0.5302  0.2719  1 P 1.56
O  0.6078  0.9698  0.7719  1 P 1.56
O  0.6127  0.1535  0.0575  1 P 1.53
O  0.6127  0.3465  0.5575  1 P 1.53
O  0.6505  0.2487  0.3176  1 P 1.54
O  0.6505  0.2513  0.8176  1 P 1.54
O  0.7395  0.6697  0.5832  1 P 1.55
O  0.7395  0.8303  0.0832  1 P 1.55
O  0.7679  0.6006  0.8376  1 P 1.54
O  0.7679  0.8994  0.3376  1 P 1.54
O  0.8157  0.0555  0.9658  1 P 1.52
O  0.8157  0.4445  0.4658  1 P 1.52
O  0.8801  0.0896  0.5336  1 P 1.53
O  0.8801  0.4104  0.0336  1 P 1.53
O  0.9028  0.0919  0.8331  1 P 1.55
O  0.9028  0.4081  0.3331  1 P 1.55
O  0.9618  0.0160  0.2798  1 P 1.56
O  0.9618  0.4840  0.7798  1 P 1.56
O  0.9658  0.7307  0.3084  1 P 1.56
O  0.9658  0.7693  0.8084  1 P 1.56

Values from the calculation:
calculated density	2.73	g/cm3
raw total energy	-804.661	eV per cell
E_form (uncorrected)	-2.9775	eV per atom

Record 6
Below is AlZnPt2 at its PBEsol-relaxed geometry, with properties calculated at the meta-GGA SCAN level.

Unit cell a=2.8104 b=4.4478 c=4.5184 alpha=90.00 beta=90.00 gamma=90.00
Closest atoms and distances in Å follow each position.
Positions (direct):
Al  0.0000  0.0000  0.0000  8 Pt 2.65-2.67, 2 Al 2.81, 2 Zn 2.96
Zn  0.0000  0.5000  0.4339  8 Pt 2.65-2.66, 2 Zn 2.81
Pt  0.5000  0.0000  0.4983  4 Zn 2.65, 4 Al 2.65-2.67, 2 Pt 2.81
Pt  0.5000  0.5000  0.9346  4 Al 2.65, 4 Zn 2.66, 2 Pt 2.81

Values from the calculation:
calculated density	14.19	g/cm3
DFT formation energy	-0.9012	eV/atom
raw total energy	-165.258	eV per cell

Record 7
Below is KBe2Ru at its PBEsol-relaxed geometry, with properties calculated at the meta-GGA SCAN level.

Unit cell a=7.7534 b=7.7534 c=7.7534 alpha=142.24 beta=142.24 gamma=54.47
Closest atoms and distances in Å follow each position.
Positions (direct):
K  0.3750  0.6250  0.7500  8 Be 3.29, 4 Ru 3.55
K  0.6250  0.3750  0.2500  8 Be 3.29, 4 Ru 3.55
Be  0.0000  0.0000  0.0000  2 Ru 2.13
Be  0.0000  0.0000  0.5000  2 Ru 2.13
Be  0.0000  0.5000  0.0000  2 Ru 2.13
Be  0.5000  0.0000  0.5000  2 Ru 2.13
Ru  0.1250  0.8750  0.2500  4 Be 2.13
Ru  0.8750  0.1250  0.7500  4 Be 2.13

Values from the calculation:
calculated density	3.03	g/cm3
DFT formation energy	0.7945	eV/atom
raw total energy	-97.368	eV per cell

Record 8
Below is La2ZrAl at its PBEsol-relaxed geometry, with properties calculated at the meta-GGA SCAN level.

Unit cell a=3.4159 b=5.0077 c=6.5557 alpha=90.00 beta=104.95 gamma=90.00
Closest atoms and distances in Å follow each position.
Positions (direct):
La  0.0000  0.0000  0.0000  3 Al 3.26-3.55, 4 Zr 3.27-3.28, 2 La 3.42
La  0.3146  0.5000  0.6350  3 Zr 3.26-3.55, 4 Al 3.28, 2 La 3.42
Zr  0.5973  0.5000  0.1955  2 Al 2.94, 6 La 3.26-3.28
Al  0.7173  0.0000  0.4387  2 Zr 2.94, 6 La 3.26-3.28

Values from the calculation:
calculated density	6.07	g/cm3
DFT formation energy	-0.0921	eV/atom
raw total energy	-125.029	eV per cell

Record 9
Below is Ba2Co2Br at its PBEsol-relaxed geometry, with properties calculated at the meta-GGA SCAN level.

Unit cell a=9.9915 b=9.9915 c=9.9915 alpha=159.38 beta=159.38 gamma=29.32
Closest atoms and distances in Å follow each position.
Positions (direct):
Ba  0.1206  0.1206  0.0000  4 Co 3.07, 4 Br 3.44
Ba  0.8794  0.8794  0.0000  4 Co 3.07, 4 Br 3.44
Co  0.2500  0.7500  0.5000  4 Co 2.53
Co  0.7500  0.2500  0.5000  4 Co 2.53
Br  0.5000  0.5000  0.0000  8 Ba 3.44, 4 Br 3.58

Values from the calculation:
calculated density	6.35	g/cm3
raw total energy	-134.400	eV per cell
E_form (uncorrected)	-0.2464	eV per atom

Record 10
Below is GaSbTe2Os at its PBEsol-relaxed geometry, with properties calculated at the meta-GGA SCAN level.

Unit cell a=5.3456 b=5.3456 c=4.9616 alpha=90.00 beta=90.00 gamma=90.00
Closest atoms and distances in Å follow each position.
Positions (direct):
Ga  0.0000  0.0000  0.0000  8 Te 3.65, 4 Sb 3.78
Sb  0.5000  0.5000  0.0000  2 Os 2.48
Te  0.0000  0.5000  0.5000  2 Os 2.67
Te  0.5000  0.0000  0.5000  2 Os 2.67
Os  0.5000  0.5000  0.5000  2 Sb 2.48, 4 Te 2.67

Values from the calculation:
calculated density	7.46	g/cm3
raw total energy	-196.534	eV per cell
E_form (uncorrected)	0.6910	eV per atom

Record 11
Below is LaHgMo2 at its PBEsol-relaxed geometry, with properties calculated at the meta-GGA SCAN level.

Unit cell a=9.6652 b=9.6652 c=9.6652 alpha=18.87 beta=18.87 gamma=18.87
Closest atoms and distances in Å follow each position.
Positions (direct):
La  0.0000  0.0000  0.0000  3 Mo 3.15, 6 La 3.17, 3 Hg 3.41
Hg  0.7676  0.7676  0.7676  3 Mo 2.99, 6 Hg 3.17
Mo  0.2434  0.2434  0.2434  3 Mo 2.49
Mo  0.5172  0.5172  0.5172  3 Mo 2.49

Values from the calculation:
calculated density	10.69	g/cm3
DFT formation energy	0.3724	eV/atom
raw total energy	-179.552	eV per cell

Record 12
Below is Sc2Tc at its PBEsol-relaxed geometry, with properties calculated at the meta-GGA SCAN level.

Unit cell a=5.6015 b=5.6015 c=7.2834 alpha=112.48 beta=112.48 gamma=33.27
Closest atoms and distances in Å follow each position.
Positions (direct):
Sc  0.0027  0.0027  0.2093  4 Tc 2.67-2.94
Sc  0.3178  0.3178  0.3644  2 Tc 2.66
Sc  0.6822  0.6822  0.6356  2 Tc 2.66
Sc  0.9973  0.9973  0.7907  4 Tc 2.67-2.94
Tc  0.3260  0.3260  0.9365  6 Sc 2.66-2.94, 2 Tc 2.70
Tc  0.6740  0.6740  0.0635  6 Sc 2.66-2.94, 2 Tc 2.70

Values from the calculation:
calculated density	5.43	g/cm3
DFT formation energy	-0.1994	eV/atom
raw total energy	-128.265	eV per cell

> The highest raw total energy belongs to which entry?

MgRh